Compound: PuZrAl2
Source: Alexandria
Functional: PBE-GGA
Structure: optimized geometry

Results
M_tot   5.70 μB per formula unit
DFT total energy   -31.2 eV per cell
ΔE_f   -0.201 eV per atom
Excess energy over the best structure of this formula in the dataset   117 meV/atom

a = 4.9087 Å, b = 4.9087 Å, c = 4.9087 Å
α = 60.00°, β = 60.00°, γ = 60.00°
With the nearest neighbours (Å) after each atom.
Sites, in units of the cell vectors:
Zr 0.5000 0.5000 0.5000  8 Al 3.01
Al 0.2500 0.2500 0.2500  4 Pu 3.01, 4 Zr 3.01
Al 0.7500 0.7500 0.7500  4 Zr 3.01, 4 Pu 3.01
Pu 0.0000 0.0000 0.0000  8 Al 3.01